# 1
# In2Ge2Pd5

An optimized crystal structure of In2Ge2Pd5 (PBE, Alexandria).

The structure in POSCAR format:
```
In2Ge2Pd5
1.0
4.6438 0.0000 0.0000
-2.3219 6.7010 -2.1881
0.0000 -3.4741 6.6400
In Ge Pd
2 2 5
Direct
0.3523 0.7045 0.6400
0.6477 0.2955 0.3600
0.1437 0.2875 0.8796
0.8563 0.7125 0.1204
0.3724 0.7447 0.0273
0.6276 0.2553 0.9727
0.1060 0.2121 0.4997
0.8940 0.7879 0.5003
0.0000 0.0000 0.0000
```

Its space-group type is C2/m. As for the formation enthalpy at 0 K: -334 meV per atom. The value obtained for the mass density is 8.79 Mg/m³.

# 2
# InGe2Pd8

An optimized crystal structure of InGe2Pd8 (PBE, Alexandria).

The structure in POSCAR format:
```
InGe2Pd8
1.0
-0.7520 3.4634 1.9045
-2.6948 2.7064 -5.9858
-3.8671 -5.1654 3.6169
Ge Pd In
2 8 1
Direct
0.1797 0.6797 0.3594
0.8203 0.3203 0.6406
0.6657 0.8863 0.3315
0.3343 0.5549 0.6685
0.1500 0.1500 0.3001
0.0000 0.3029 0.0000
0.8500 0.8500 0.6999
0.6657 0.4451 0.3315
0.3343 0.1137 0.6685
0.0000 0.6971 0.0000
0.5000 0.0000 0.0000
```

Its space-group type is Immm. As for the formation enthalpy at 0 K: -444 meV per atom. The value obtained for the mass density is 10.47 Mg/m³.

# 3
# In2Ge2Pd

An optimized crystal structure of In2Ge2Pd (PBE, Alexandria).

The structure in POSCAR format:
```
In2Ge2Pd
1.0
-0.8190 4.4256 5.6790
-4.0455 -5.0109 3.3215
3.5074 -1.6461 1.7886
Ge Pd In
4 2 4
Direct
0.1337 0.6337 0.5000
0.6337 0.8663 0.5000
0.8663 0.3663 0.5000
0.3663 0.1337 0.5000
0.0000 0.0000 0.0000
0.5000 0.5000 0.0000
0.3338 0.8338 0.0000
0.8338 0.6662 0.0000
0.6662 0.1662 0.0000
0.1662 0.3338 0.0000
```

Its space-group type is P4/mbm. As for the formation enthalpy at 0 K: 133 meV per atom. The value obtained for the mass density is 7.13 Mg/m³.

# 4
# InGe2Pd

An optimized crystal structure of InGe2Pd (PBE, Alexandria).

The structure in POSCAR format:
```
InGe2Pd
1.0
-0.5478 0.3277 -3.0107
0.3556 -2.3960 -1.8985
-9.3789 -3.1986 -0.2145
Ge Pd In
2 1 1
Direct
0.0994 0.0994 0.7018
0.9006 0.9006 0.2982
0.5000 0.5000 0.5000
0.0000 0.0000 0.0000
```

Its space-group type is R-3m. As for the formation enthalpy at 0 K: -62 meV per atom. The value obtained for the mass density is 7.61 Mg/m³.

no.,energy (eV/atom),Fermi-level density of states (states/eV per atom)
1,-4.854,0.29
2,-5.309,0.36
3,-3.848,0.30
4,-4.353,0.44